(1)
# HfGaNi

A relaxed structure of HfGaNi (PBE, Alexandria via LeMat-Bulk).

Its final energy is -6.489 eV per atom. As for the total magnetization: 0.00 μB/cell. Its density of states at the Fermi level is 8.225 states/eV per cell. The crystal system is orthorhombic.

It has space group Cmcm (No. 63), with a = 3.176 Å, b = 13.278 Å, c = 4.908 Å, α = 90.00°, β = 90.00° and γ = 90.00°. Symmetry generates all atoms from Hf at (0.000, 0.136, 0.250), Ga at (0.000, 0.345, 0.250) and Ni at (0.000, 0.500, 0.000).

***

(2)
# BeAu8

A relaxed structure of BeAu8 (PBE, Alexandria via LeMat-Bulk).

Its final energy is -3.315 eV per atom. As for the total magnetization: 0.00 μB/cell. Its density of states at the Fermi level is 2.482 states/eV per cell. The crystal system is tetragonal.

It has space group I4/mmm (No. 139), with a = 10.042 Å, b = 10.042 Å, c = 3.123 Å, α = 90.00°, β = 90.00° and γ = 90.00°. Symmetry generates all atoms from Be at (0.000, 0.000, 0.000), Au at (0.000, 0.333, 0.000) and Au at (0.145, 0.145, 0.500).